Record 1
Entry from the Alexandria database: an optimized crystal structure of PdIF2 (PBE).

Unit cell a=4.433 b=4.433 c=4.433 alpha=60.00 beta=60.00 gamma=60.00
Fractional positions:
Pd  0.000  0.000  0.000
I  0.500  0.500  0.500
F  0.250  0.250  0.250
F  0.750  0.750  0.750

For the volume, the calculation gives 61.61 Å³/cell. Its excess energy over the best structure of this formula in the dataset is 420 meV/atom. Its crystal system is cubic.

=====

Record 2
Entry from the Alexandria database: an optimized crystal structure of Pd2I4F (PBE).

Unit cell a=8.002 b=8.002 c=8.295 alpha=115.60 beta=115.60 gamma=89.68
Fractional positions:
Pd  0.003  0.997  0.500
Pd  0.005  0.509  0.024
Pd  0.509  0.005  0.524
Pd  0.997  0.003  0.000
I  0.186  0.712  0.944
I  0.194  0.244  0.935
I  0.244  0.194  0.435
I  0.286  0.804  0.566
I  0.712  0.186  0.444
I  0.767  0.804  0.589
I  0.804  0.286  0.066
I  0.804  0.767  0.089
F  0.603  0.608  0.263
F  0.608  0.603  0.763

The total energy comes out at -41.57 eV/cell. For the volume, the calculation gives 421.07 Å³/cell. Its crystal system is monoclinic.

=====

Record 3
Entry from the Alexandria database: an optimized crystal structure of PdIF2 (PBE).

Unit cell a=8.748 b=8.748 c=8.748 alpha=153.79 beta=153.79 gamma=37.40
Fractional positions:
Pd  0.000  0.000  0.000
Pd  0.750  0.250  0.500
I  0.250  0.750  0.500
I  0.500  0.500  0.000
F  0.143  0.625  0.018
F  0.375  0.393  0.518
F  0.607  0.125  0.982
F  0.875  0.857  0.482

For the volume, the calculation gives 130.35 Å³/cell. Its excess energy over the best structure of this formula in the dataset is 156 meV/atom. Its crystal system is tetragonal.

=====

Record 4
Entry from the Alexandria database: an optimized crystal structure of PdIF3 (PBE).

Unit cell a=4.655 b=4.655 c=4.655 alpha=90.00 beta=90.00 gamma=90.00
Fractional positions:
Pd  0.000  0.000  0.000
I  0.500  0.500  0.500
F  0.000  0.500  0.500
F  0.500  0.000  0.500
F  0.500  0.500  0.000

For the volume, the calculation gives 100.87 Å³/cell. Its excess energy over the best structure of this formula in the dataset is 677 meV/atom. Its crystal system is cubic.

=====

Record 5
Entry from the Alexandria database: an optimized crystal structure of PdIF3 (PBE).

Unit cell a=5.168 b=5.764 c=6.131 alpha=99.41 beta=99.11 gamma=92.67
Fractional positions:
Pd  0.000  0.000  0.000
Pd  0.480  0.502  0.966
I  0.350  0.000  0.379
I  0.639  0.418  0.583
F  0.195  0.232  0.851
F  0.230  0.739  0.849
F  0.282  0.589  0.238
F  0.738  0.268  0.098
F  0.752  0.895  0.702
F  0.774  0.762  0.118

For the volume, the calculation gives 177.40 Å³/cell. Its excess energy over the best structure of this formula in the dataset is 0 meV/atom. Its crystal system is triclinic.

=====

Record 6
Entry from the Alexandria database: an optimized crystal structure of PdIF (PBE).

Unit cell a=3.877 b=3.877 c=4.875 alpha=90.00 beta=90.00 gamma=120.00
Fractional positions:
Pd  0.000  0.000  0.000
I  0.667  0.333  0.708
F  0.333  0.667  0.197

For the volume, the calculation gives 63.45 Å³/cell. Its excess energy over the best structure of this formula in the dataset is 122 meV/atom. Its crystal system is trigonal.